# 1
Material: Si7W
Method: DFT, GGA-PBE
State: optimized geometry

Unit cell a=5.403 b=5.403 c=5.403 alpha=60.00 beta=60.00 gamma=60.00
Positions (direct):
Si (0.500, 0.500, 0.000)
Si (0.500, 0.000, 0.500)
Si (0.500, 0.000, 0.000)
Si (0.000, 0.000, 0.500)
Si (0.000, 0.500, 0.000)
Si (0.000, 0.500, 0.500)
Si (0.500, 0.500, 0.500)
W (0.000, 0.000, 0.000)

* space group: Fm-3m (225)
* spin magnetization: 0.00 μB/atom
* raw total energy: -5.950 eV/atom

# 2
Material: NpTiRh2
Method: DFT, GGA-PBE
State: optimized geometry

Unit cell a=3.265 b=4.621 c=4.621 alpha=90.00 beta=90.00 gamma=90.00
Positions (direct):
Np (0.500, 0.000, 0.000)
Rh (0.000, 0.000, 0.500)
Rh (0.000, 0.500, 0.000)
Ti (0.500, 0.500, 0.500)

* energy of formation: -376 meV/atom
* space group: P4/mmm (123)
* spin magnetization: 0.83 μB/atom
* raw total energy: -9.261 eV/atom
* E above lowest polymorph: 101.5 meV per atom

# 3
Material: LiAc2NpSe5
Method: DFT, GGA-PBE
State: optimized geometry

Unit cell a=4.336 b=9.176 c=12.732 alpha=90.00 beta=90.00 gamma=103.67
Positions (direct):
Li (0.518, 0.036, 0.978)
Li (0.482, 0.964, 0.478)
Ac (0.874, 0.748, 0.801)
Ac (0.110, 0.220, 0.687)
Ac (0.126, 0.252, 0.301)
Ac (0.890, 0.780, 0.187)
Np (0.802, 0.603, 0.505)
Np (0.198, 0.397, 0.005)
Se (0.362, 0.725, 0.000)
Se (0.692, 0.384, 0.852)
Se (0.500, 0.000, 0.782)
Se (0.289, 0.578, 0.658)
Se (0.953, 0.905, 0.563)
Se (0.638, 0.275, 0.500)
Se (0.308, 0.616, 0.352)
Se (0.500, 0.000, 0.282)
Se (0.711, 0.422, 0.158)
Se (0.047, 0.095, 0.063)

* space group: Cmc2_1 (36)
* spin magnetization: 0.44 μB/atom
* raw total energy: -6.138 eV/atom

# 4
Material: La8Ru3RhBr3
Method: DFT, GGA-PBE
State: optimized geometry

Unit cell a=8.354 b=8.352 c=9.236 alpha=116.93 beta=90.00 gamma=120.00
Positions (direct):
La (0.268, 0.535, 0.304)
La (0.732, 0.465, 0.696)
La (0.766, 0.533, 0.305)
La (0.234, 0.467, 0.695)
La (0.766, 0.039, 0.306)
La (0.234, 0.961, 0.694)
La (0.273, 0.039, 0.306)
La (0.727, 0.961, 0.694)
Ru (0.500, 0.000, 0.500)
Ru (0.500, 0.500, 0.500)
Ru (0.000, 0.500, 0.500)
Rh (0.000, 0.000, 0.500)
Br (0.000, 0.000, 0.000)
Br (0.000, 0.500, 0.000)
Br (0.500, 0.500, 0.000)

* space group: C2/m (12)
* spin magnetization: 0.01 μB/atom
* raw total energy: -6.138 eV/atom

# 5
Material: Ac3Al9Au2
Method: DFT, GGA-PBE
State: optimized geometry

Unit cell a=4.561 b=8.690 c=8.690 alpha=74.40 beta=74.78 gamma=74.78
Positions (direct):
Ac (0.000, 0.000, 0.000)
Ac (0.685, 0.315, 0.315)
Ac (0.315, 0.685, 0.685)
Al (0.000, 0.500, 0.500)
Al (0.666, 0.968, 0.700)
Al (0.334, 0.032, 0.300)
Al (0.666, 0.700, 0.968)
Al (0.334, 0.300, 0.032)
Al (0.871, 0.854, 0.404)
Al (0.129, 0.146, 0.596)
Al (0.871, 0.404, 0.854)
Al (0.129, 0.596, 0.146)
Au (0.500, 0.276, 0.724)
Au (0.500, 0.724, 0.276)

* energy of formation: -441 meV/atom
* space group: Immm (71)
* spin magnetization: 0.00 μB/atom
* raw total energy: -4.196 eV/atom

# 6
Material: CaP2N3
Method: DFT, GGA-PBE
State: optimized geometry

Unit cell a=4.994 b=6.633 c=7.093 alpha=82.66 beta=85.10 gamma=59.73
Positions (direct):
Ca (0.533, 0.307, 0.732)
Ca (0.467, 0.693, 0.268)
P (0.856, 0.155, 0.248)
P (0.349, 0.219, 0.238)
P (0.144, 0.845, 0.752)
P (0.651, 0.781, 0.762)
N (0.609, 0.197, 0.066)
N (0.513, 0.292, 0.393)
N (0.973, 0.359, 0.213)
N (0.027, 0.641, 0.787)
N (0.487, 0.708, 0.607)
N (0.391, 0.803, 0.934)

* space group: P-1 (2)
* spin magnetization: 0.17 μB/atom
* raw total energy: -6.664 eV/atom

# 7
Material: MnRh3
Method: DFT, GGA-PBE
State: optimized geometry

Unit cell a=2.700 b=2.700 c=8.886 alpha=90.00 beta=90.00 gamma=118.04
Positions (direct):
Mn (0.000, 0.000, 0.000)
Rh (0.000, 0.000, 0.500)
Rh (0.500, 0.500, 0.239)
Rh (0.500, 0.500, 0.761)

* energy of formation: 141 meV/atom
* space group: Cmmm (65)
* spin magnetization: 0.95 μB/atom
* raw total energy: -7.665 eV/atom

# 8
Material: ZrCrAg4
Method: DFT, GGA-PBE
State: optimized geometry

Unit cell a=5.446 b=5.446 c=5.446 alpha=60.00 beta=60.00 gamma=60.00
Positions (direct):
Zr (0.000, 0.000, 0.000)
Cr (0.750, 0.750, 0.750)
Ag (0.874, 0.375, 0.375)
Ag (0.375, 0.375, 0.874)
Ag (0.375, 0.874, 0.375)
Ag (0.375, 0.375, 0.375)

* energy of formation: 276 meV/atom
* space group: F-43m (216)
* spin magnetization: 0.76 μB/atom
* raw total energy: -4.653 eV/atom

> What is the spin magnetization in the eighth record?

0.76 μB/atom

Copy entry 1 word for word.
Material: Si7W
Method: DFT, GGA-PBE
State: optimized geometry

Unit cell a=5.403 b=5.403 c=5.403 alpha=60.00 beta=60.00 gamma=60.00
Positions (direct):
Si (0.500, 0.500, 0.000)
Si (0.500, 0.000, 0.500)
Si (0.500, 0.000, 0.000)
Si (0.000, 0.000, 0.500)
Si (0.000, 0.500, 0.000)
Si (0.000, 0.500, 0.500)
Si (0.500, 0.500, 0.500)
W (0.000, 0.000, 0.000)

* space group: Fm-3m (225)
* spin magnetization: 0.00 μB/atom
* raw total energy: -5.950 eV/atom